# Pr4BCl5 (PBE, optimized geometry)
data_Pr4BCl5
_chemical_formula_sum 'Pr8 B2 Cl10'
_cell_length_a 18.173
_cell_length_b 4.035
_cell_length_c 8.263
_cell_angle_alpha 90.00
_cell_angle_beta 104.79
_cell_angle_gamma 90.00
_symmetry_space_group_name_H-M 'C 1 2/m 1'
_symmetry_Int_Tables_number 12
loop_
_symmetry_equiv_pos_as_xyz
'x,y,z'
'-x,-y,-z'
'-x,y,-z'
'x,-y,z'
'x+1/2,y+1/2,z'
'-x+1/2,-y+1/2,-z'
'-x+1/2,y+1/2,-z'
'x+1/2,-y+1/2,z'
loop_
_atom_site_label
_atom_site_fract_x
_atom_site_fract_y
_atom_site_fract_z
_atom_site_occupancy
Pr1 0.001 0.000 0.278 1
Pr2 0.149 0.500 0.591 1
B1 0.000 0.500 0.500 1
Cl1 0.000 0.500 0.000 1
Cl2 0.164 0.000 0.840 1
Cl3 0.170 0.000 0.352 1
# Energy relative to the elements, uncorrected   -16.48 eV/f.u.
# Electronic total energy   -5.15 eV per atom

# Pr4B2Cl5 (PBE, optimized geometry)
data_Pr4B2Cl5
_chemical_formula_sum 'Pr8 B4 Cl10'
_cell_length_a 4.037
_cell_length_b 7.950
_cell_length_c 18.415
_cell_angle_alpha 90.00
_cell_angle_beta 90.00
_cell_angle_gamma 90.00
_symmetry_space_group_name_H-M 'I m m m'
_symmetry_Int_Tables_number 71
_symmetry_space_group_name_Hall '-I 2 2'
loop_
_atom_site_label
_atom_site_fract_x
_atom_site_fract_y
_atom_site_fract_z
_atom_site_occupancy
Pr1 0.000 0.000 0.174 1
Pr2 0.000 0.284 0.500 1
B1 0.000 0.000 0.043 1
Cl1 0.000 0.242 0.330 1
Cl2 0.000 0.500 0.000 1
# Energy relative to the elements, uncorrected   -16.24 eV/f.u.
# Electronic total energy   -5.27 eV per atom

# Pr2BCl (PBE, optimized geometry)
data_Pr2BCl
_chemical_formula_sum 'Pr6 B3 Cl3'
_cell_length_a 4.0223
_cell_length_b 4.0223
_cell_length_c 21.1477
_cell_angle_alpha 90.00
_cell_angle_beta 90.00
_cell_angle_gamma 120.00
_symmetry_space_group_name_H-M 'R -3 m'
_symmetry_Int_Tables_number 166
_symmetry_space_group_name_Hall '-R 3 2"'
loop_
_atom_site_label
_atom_site_fract_x
_atom_site_fract_y
_atom_site_fract_z
_atom_site_occupancy
Pr1 0.0000 0.0000 0.2354 1
B1 0.0000 0.0000 0.5000 1
Cl1 0.0000 0.0000 0.0000 1
# Energy relative to the elements, uncorrected   -3.28 eV/f.u.
# Electronic total energy   -5.34 eV per atom

Question: Among the records above, which one has the highest energy relative to the elements, uncorrected?
Answer: Pr2BCl